(w)
# RbCd2Sb2 (PBE, relaxed)
data_RbCd2Sb2
_cell_length_a 9.123
_cell_length_b 9.123
_cell_length_c 3.525
_cell_angle_alpha 90.00
_cell_angle_beta 90.00
_cell_angle_gamma 90.00
_symmetry_space_group_name_H-M 'P 4/m b m'
_symmetry_Int_Tables_number 127
_symmetry_space_group_name_Hall '-P 4 2ab'
loop_
_atom_site_label
_atom_site_type_symbol
_atom_site_fract_x
_atom_site_fract_y
_atom_site_fract_z
_atom_site_occupancy
Rb1 Rb 0.000 0.000 0.000 1
Cd1 Cd 0.126 0.374 0.000 1
Sb1 Sb 0.165 0.665 0.500 1
# Total magnetization = 0.0 μB/cell

***

(x)
# RbCd2Sb2 (PBE, relaxed)
data_RbCd2Sb2
_cell_length_a 6.792
_cell_length_b 8.024
_cell_length_c 8.046
_cell_angle_alpha 109.09
_cell_angle_beta 102.12
_cell_angle_gamma 114.53
_symmetry_space_group_name_H-M 'P -1'
_symmetry_Int_Tables_number 2
loop_
_symmetry_equiv_pos_as_xyz
'x,y,z'
'-x,-y,-z'
loop_
_atom_site_label
_atom_site_type_symbol
_atom_site_fract_x
_atom_site_fract_y
_atom_site_fract_z
_atom_site_occupancy
Rb1 Rb 0.142 0.393 0.294 1
Cd1 Cd 0.282 0.039 0.572 1
Cd2 Cd 0.496 0.743 0.987 1
Sb1 Sb 0.134 0.303 0.788 1
Sb2 Sb 0.365 0.025 0.222 1
# Total magnetization = 0.0 μB/cell

***

Computed relative energies in units of meV per atom: (w) 117; (x) 0

***

(w)
# Rb2CdSb2 (PBE, relaxed)
data_Rb2CdSb2
_cell_length_a 7.878
_cell_length_b 7.878
_cell_length_c 6.004
_cell_angle_alpha 90.00
_cell_angle_beta 90.00
_cell_angle_gamma 90.00
_symmetry_space_group_name_H-M 'P 4/m b m'
_symmetry_Int_Tables_number 127
_symmetry_space_group_name_Hall '-P 4 2ab'
loop_
_atom_site_label
_atom_site_type_symbol
_atom_site_fract_x
_atom_site_fract_y
_atom_site_fract_z
_atom_site_occupancy
Rb1 Rb 0.168 0.332 0.000 1
Cd1 Cd 0.000 0.000 0.500 1
Sb1 Sb 0.134 0.634 0.500 1
# Total magnetization = 0.0 μB/cell

***

(x)
# Rb2CdSb2 (PBE, relaxed)
data_Rb2CdSb2
_cell_length_a 12.598
_cell_length_b 5.491
_cell_length_c 12.375
_cell_angle_alpha 90.00
_cell_angle_beta 119.14
_cell_angle_gamma 90.00
_symmetry_space_group_name_H-M 'C 1 2/m 1'
_symmetry_Int_Tables_number 12
loop_
_symmetry_equiv_pos_as_xyz
'x,y,z'
'-x,-y,-z'
'-x,y,-z'
'x,-y,z'
'x+1/2,y+1/2,z'
'-x+1/2,-y+1/2,-z'
'-x+1/2,y+1/2,-z'
'x+1/2,-y+1/2,z'
loop_
_atom_site_label
_atom_site_type_symbol
_atom_site_fract_x
_atom_site_fract_y
_atom_site_fract_z
_atom_site_occupancy
Rb1 Rb 0.083 0.000 0.394 1
Rb2 Rb 0.176 0.500 0.190 1
Cd1 Cd 0.143 0.500 0.855 1
Sb1 Sb 0.091 0.000 0.954 1
Sb2 Sb 0.120 0.500 0.610 1
# Total magnetization = 0.0 μB/cell

***

(y)
# Rb2CdSb2 (PBE, relaxed)
data_Rb2CdSb2
_cell_length_a 11.444
_cell_length_b 11.444
_cell_length_c 3.159
_cell_angle_alpha 90.00
_cell_angle_beta 90.00
_cell_angle_gamma 90.00
_symmetry_space_group_name_H-M 'P 4/m b m'
_symmetry_Int_Tables_number 127
_symmetry_space_group_name_Hall '-P 4 2ab'
loop_
_atom_site_label
_atom_site_type_symbol
_atom_site_fract_x
_atom_site_fract_y
_atom_site_fract_z
_atom_site_occupancy
Rb1 Rb 0.133 0.367 0.000 1
Cd1 Cd 0.000 0.000 0.000 1
Sb1 Sb 0.164 0.664 0.500 1
# Total magnetization = 0.0 μB/cell

***

Computed relative energies in units of meV per atom: (w) 71; (x) 0; (y) 429

***

(w)
# RbCdSb2Te (PBE, relaxed)
data_RbCdSb2Te
_cell_length_a 6.177
_cell_length_b 6.177
_cell_length_c 6.214
_cell_angle_alpha 90.00
_cell_angle_beta 90.00
_cell_angle_gamma 90.00
_symmetry_space_group_name_H-M 'P 4/m m m'
_symmetry_Int_Tables_number 123
_symmetry_space_group_name_Hall '-P 4 2'
loop_
_atom_site_label
_atom_site_type_symbol
_atom_site_fract_x
_atom_site_fract_y
_atom_site_fract_z
_atom_site_occupancy
Rb1 Rb 0.000 0.000 0.000 1
Cd1 Cd 0.500 0.500 0.500 1
Sb1 Sb 0.000 0.500 0.000 1
Te1 Te 0.000 0.000 0.500 1
# Total magnetization = 0.3 μB/cell

***

(x)
# RbCdSb2Te (PBE, relaxed)
data_RbCdSb2Te
_cell_length_a 5.625
_cell_length_b 5.625
_cell_length_c 5.972
_cell_angle_alpha 90.00
_cell_angle_beta 90.00
_cell_angle_gamma 90.00
_symmetry_space_group_name_H-M 'P 4/m m m'
_symmetry_Int_Tables_number 123
_symmetry_space_group_name_Hall '-P 4 2'
loop_
_atom_site_label
_atom_site_type_symbol
_atom_site_fract_x
_atom_site_fract_y
_atom_site_fract_z
_atom_site_occupancy
Rb1 Rb 0.000 0.000 0.000 1
Cd1 Cd 0.500 0.500 0.500 1
Sb1 Sb 0.000 0.500 0.500 1
Te1 Te 0.500 0.500 0.000 1
# Total magnetization = 0.0 μB/cell

***

Computed relative energies in units of meV per atom: (w) 1022; (x) 0

***

(w)
# RbScCd2 (PBE, relaxed)
data_RbScCd2
_cell_length_a 7.824
_cell_length_b 7.824
_cell_length_c 7.824
_cell_angle_alpha 90.00
_cell_angle_beta 90.00
_cell_angle_gamma 90.00
_symmetry_space_group_name_H-M 'F m -3 m'
_symmetry_Int_Tables_number 225
_symmetry_space_group_name_Hall '-F 4 2 3'
loop_
_atom_site_label
_atom_site_type_symbol
_atom_site_fract_x
_atom_site_fract_y
_atom_site_fract_z
_atom_site_occupancy
Rb1 Rb 0.000 0.000 0.000 1
Sc1 Sc 0.000 0.000 0.500 1
Cd1 Cd 0.250 0.250 0.250 1
# Total magnetization = 0.0 μB/cell

***

(x)
# RbScCd2 (PBE, relaxed)
data_RbScCd2
_cell_length_a 3.729
_cell_length_b 3.729
_cell_length_c 8.680
_cell_angle_alpha 90.00
_cell_angle_beta 90.00
_cell_angle_gamma 90.00
_symmetry_space_group_name_H-M 'P 4/m m m'
_symmetry_Int_Tables_number 123
_symmetry_space_group_name_Hall '-P 4 2'
loop_
_atom_site_label
_atom_site_type_symbol
_atom_site_fract_x
_atom_site_fract_y
_atom_site_fract_z
_atom_site_occupancy
Rb1 Rb 0.000 0.000 0.000 1
Sc1 Sc 0.000 0.000 0.500 1
Cd1 Cd 0.500 0.500 0.320 1
# Total magnetization = 0.0 μB/cell

***

(y)
# RbScCd2 (PBE, relaxed)
data_RbScCd2
_cell_length_a 8.728
_cell_length_b 8.728
_cell_length_c 7.333
_cell_angle_alpha 90.00
_cell_angle_beta 90.00
_cell_angle_gamma 90.00
_symmetry_space_group_name_H-M 'I -4 2 d'
_symmetry_Int_Tables_number 122
_symmetry_space_group_name_Hall 'I -4 2bw'
loop_
_atom_site_label
_atom_site_type_symbol
_atom_site_fract_x
_atom_site_fract_y
_atom_site_fract_z
_atom_site_occupancy
Rb1 Rb 0.000 0.000 0.000 1
Sc1 Sc 0.000 0.000 0.500 1
Cd1 Cd 0.199 0.250 0.625 1
# Total magnetization = 0.0 μB/cell

***

Computed relative energies in units of meV per atom: (w) 289; (x) 0; (y) 409

***

(w)
# RbSc3Cd (PBE, relaxed)
data_RbSc3Cd
_cell_length_a 5.101
_cell_length_b 5.101
_cell_length_c 5.101
_cell_angle_alpha 90.00
_cell_angle_beta 90.00
_cell_angle_gamma 90.00
_symmetry_space_group_name_H-M 'P m -3 m'
_symmetry_Int_Tables_number 221
_symmetry_space_group_name_Hall '-P 4 2 3'
loop_
_atom_site_label
_atom_site_type_symbol
_atom_site_fract_x
_atom_site_fract_y
_atom_site_fract_z
_atom_site_occupancy
Rb1 Rb 0.000 0.000 0.000 1
Sc1 Sc 0.000 0.000 0.500 1
Cd1 Cd 0.500 0.500 0.500 1
# Total magnetization = 0.0 μB/cell

***

(x)
# RbSc3Cd (PBE, relaxed)
data_RbSc3Cd
_cell_length_a 5.558
_cell_length_b 5.558
_cell_length_c 5.558
_cell_angle_alpha 90.00
_cell_angle_beta 90.00
_cell_angle_gamma 90.00
_symmetry_space_group_name_H-M 'P m -3 m'
_symmetry_Int_Tables_number 221
_symmetry_space_group_name_Hall '-P 4 2 3'
loop_
_atom_site_label
_atom_site_type_symbol
_atom_site_fract_x
_atom_site_fract_y
_atom_site_fract_z
_atom_site_occupancy
Rb1 Rb 0.000 0.000 0.000 1
Sc1 Sc 0.000 0.500 0.500 1
Cd1 Cd 0.500 0.500 0.500 1
# Total magnetization = 1.9 μB/cell

***

Computed relative energies in units of meV per atom: (w) 773; (x) 0

***

(w)
# RbCd2Se2 (PBE, relaxed)
data_RbCd2Se2
_cell_length_a 9.034
_cell_length_b 9.034
_cell_length_c 4.145
_cell_angle_alpha 90.00
_cell_angle_beta 90.00
_cell_angle_gamma 90.00
_symmetry_space_group_name_H-M 'P 4/m b m'
_symmetry_Int_Tables_number 127
_symmetry_space_group_name_Hall '-P 4 2ab'
loop_
_atom_site_label
_atom_site_type_symbol
_atom_site_fract_x
_atom_site_fract_y
_atom_site_fract_z
_atom_site_occupancy
Rb1 Rb 0.000 0.000 0.000 1
Cd1 Cd 0.109 0.391 0.000 1
Se1 Se 0.233 0.267 0.500 1
# Total magnetization = 0.0 μB/cell

***

(x)
# RbCd2Se2 (PBE, relaxed)
data_RbCd2Se2
_cell_length_a 9.362
_cell_length_b 11.909
_cell_length_c 7.584
_cell_angle_alpha 90.00
_cell_angle_beta 127.73
_cell_angle_gamma 90.00
_symmetry_space_group_name_H-M 'C 1 2/c 1'
_symmetry_Int_Tables_number 15
loop_
_symmetry_equiv_pos_as_xyz
'x,y,z'
'-x,-y,-z'
'-x,y,-z+1/2'
'x,-y,z+1/2'
'x+1/2,y+1/2,z'
'-x+1/2,-y+1/2,-z'
'-x+1/2,y+1/2,-z+1/2'
'x+1/2,-y+1/2,z+1/2'
loop_
_atom_site_label
_atom_site_type_symbol
_atom_site_fract_x
_atom_site_fract_y
_atom_site_fract_z
_atom_site_occupancy
Rb1 Rb 0.000 0.125 0.250 1
Cd1 Cd 0.136 0.375 0.020 1
Se1 Se 0.000 0.175 0.750 1
Se2 Se 0.000 0.425 0.250 1
# Total magnetization = 0.0 μB/cell

***

Computed relative energies in units of meV per atom: (w) 141; (x) 0